# 1
A relaxed Mg5NiPt6 crystal. Source: Alexandria via LeMat-Bulk, functional PBE.

Properties
The theoretical density is 12.12 g/cm3. As for the formation energy: -0.74 eV per atom. The density of states at the Fermi level is 5.5 states/eV/cell.

Cell lengths 7.4643, 7.4643, 7.4643 Å; angles 147.91, 121.97, 67.87 degrees
Closest atoms and distances in Å follow each position.
Fractional coordinates of all 12 atoms:
Mg 0.0000 0.0000 0.0000  8 Pt 2.74-2.76, 4 Mg 2.92
Mg 0.1670 0.6670 0.5000  8 Pt 2.75-2.76, 4 Mg 2.92-2.97
Mg 0.3394 0.3394 0.0000  8 Pt 2.67-2.83, 2 Ni 2.87, 2 Mg 2.97
Mg 0.6606 0.6606 0.0000  8 Pt 2.67-2.83, 2 Ni 2.87, 2 Mg 2.97
Mg 0.8330 0.3330 0.5000  8 Pt 2.75-2.76, 4 Mg 2.92-2.97
Ni 0.5000 0.0000 0.5000  8 Pt 2.72-2.73, 4 Mg 2.87
Pt 0.0875 0.8355 0.2520  1 Ni 2.72, 7 Mg 2.74-2.83, 4 Pt 2.90-2.96
Pt 0.2530 0.5000 0.7530  6 Mg 2.67-2.76, 2 Ni 2.73, 4 Pt 2.90
Pt 0.4166 0.1645 0.2520  1 Ni 2.72, 7 Mg 2.74-2.83, 4 Pt 2.90-2.96
Pt 0.5834 0.8355 0.7480  1 Ni 2.72, 7 Mg 2.74-2.83, 4 Pt 2.90-2.96
Pt 0.7470 0.5000 0.2470  6 Mg 2.67-2.76, 2 Ni 2.73, 4 Pt 2.90
Pt 0.9125 0.1645 0.7480  1 Ni 2.72, 7 Mg 2.74-2.83, 4 Pt 2.90-2.96


# 2
A relaxed Ba2PdPb2 crystal. Source: Alexandria via LeMat-Bulk, functional PBE.

Properties
The calculation puts the polymorph energy (0 for the lowest one) at 0.391 eV/atom. The theoretical density is 6.57 g/cm3. As for the formation energy: -0.15 eV per atom. The density of states at the Fermi level is 4.3 states/eV/cell.

Cell lengths 6.4484, 6.4484, 6.4484 Å; angles 115.10, 115.10, 98.72 degrees
Closest atoms and distances in Å follow each position.
Fractional coordinates of all 5 atoms:
Ba 0.2500 0.7500 0.5000  4 Pb 3.52
Ba 0.7500 0.2500 0.5000  4 Pb 3.52
Pd 0.0000 0.0000 0.0000  2 Pb 2.73
Pb 0.3249 0.3249 0.0000  1 Pd 2.73, 1 Pb 2.94
Pb 0.6751 0.6751 0.0000  1 Pd 2.73, 1 Pb 2.94


# 3
A relaxed Ge2Mo7C2 crystal. Source: Alexandria via LeMat-Bulk, functional PBE.

Properties
The theoretical density is 9.21 g/cm3. As for the formation energy: 0.00 eV per atom. The density of states at the Fermi level is 6.2 states/eV/cell.

Cell lengths 7.7601, 7.7601, 7.7601 Å; angles 158.15, 65.94, 118.65 degrees
Closest atoms and distances in Å follow each position.
Fractional coordinates of all 11 atoms:
Ge 0.0000 0.0000 0.0000  7 Mo 2.57-2.67
Ge 0.6074 0.1074 0.5000  8 Mo 2.63-2.69, 2 Ge 2.94
Mo 0.2609 0.6008 0.6600  2 C 2.20
Mo 0.2714 0.9493 0.3221  2 C 2.22
Mo 0.3252 0.3252 0.0000  3 Ge 2.57-2.67
Mo 0.6272 0.9493 0.6779  2 C 2.22
Mo 0.6289 0.7703 0.8586  2 C 2.16
Mo 0.9118 0.7703 0.1414  2 C 2.16
Mo 0.9408 0.6008 0.3400  2 C 2.20
C 0.0257 0.2630 0.7627  6 Mo 2.16-2.22
C 0.5003 0.2630 0.2373  6 Mo 2.16-2.22


Results for total DFT energy (no corrections): -4.91; -3.44; -9.41 (in eV/atom, following the order of the records).